# 1
# Tm8Os2Pd

A relaxed structure of Tm8Os2Pd (PBE, Alexandria).

Summary:
Its distance to the lowest polymorph of the same formula is 0 meV per atom. As for the theoretical density: 11.3 Mg/m³. The total magnetic moment is 0.00 μB per cell. The calculation puts the formation energy at -0.356 eV/atom. The total energy comes out at -6.122 eV per atom.

Geometry as CIF:
```
data_Tm8Os2Pd
_cell_length_a 4.698
_cell_length_b 6.932
_cell_length_c 9.014
_cell_angle_alpha 106.90
_cell_angle_beta 105.10
_cell_angle_gamma 90.00
_symmetry_space_group_name_H-M 'P 1'
_symmetry_Int_Tables_number 1
loop_
_symmetry_equiv_pos_as_xyz
'x,y,z'
loop_
_atom_site_label
_atom_site_type_symbol
_atom_site_fract_x
_atom_site_fract_y
_atom_site_fract_z
Tm1 Tm 0.329 0.038 0.658
Tm2 Tm 0.401 0.530 0.802
Tm3 Tm 0.671 0.962 0.342
Tm4 Tm 0.794 0.685 0.588
Tm5 Tm 0.206 0.315 0.412
Tm6 Tm 0.599 0.470 0.198
Tm7 Tm 0.968 0.217 0.936
Tm8 Tm 0.032 0.783 0.064
Pd1 Pd 0.500 0.000 0.000
Os1 Os 0.185 0.702 0.370
Os2 Os 0.815 0.298 0.630
```

# 2
# Tl3FeBr

A relaxed structure of Tl3FeBr (PBE, Alexandria).

Summary:
Its formation energy without anion corrections is 1.109 kcal/mol of atoms. Its distance to the lowest polymorph of the same formula is 0 meV per atom. As for the theoretical density: 8.7 Mg/m³. The total magnetic moment is 1.40 μB per cell. The total energy comes out at -3.399 eV per atom.

Geometry as CIF:
```
data_Tl3FeBr
_cell_length_a 5.234
_cell_length_b 5.234
_cell_length_c 5.234
_cell_angle_alpha 90.00
_cell_angle_beta 90.00
_cell_angle_gamma 90.00
_symmetry_space_group_name_H-M 'P 1'
_symmetry_Int_Tables_number 1
loop_
_symmetry_equiv_pos_as_xyz
'x,y,z'
loop_
_atom_site_label
_atom_site_type_symbol
_atom_site_fract_x
_atom_site_fract_y
_atom_site_fract_z
Tl1 Tl 0.000 0.500 0.000
Tl2 Tl 0.000 0.000 0.500
Tl3 Tl 0.500 0.000 0.000
Br1 Br 0.500 0.500 0.500
Fe1 Fe 0.000 0.000 0.000
```

# 3
# CsNa2ZnGa

A relaxed structure of CsNa2ZnGa (PBE, Alexandria).

Summary:
Its distance to the lowest polymorph of the same formula is 0 meV per atom. As for the theoretical density: 2.9 Mg/m³. The total magnetic moment is 0.00 μB per cell. The calculation puts the formation energy at 0.055 eV/atom. The total energy comes out at -1.504 eV per atom.

Geometry as CIF:
```
data_CsNa2ZnGa
_cell_length_a 5.897
_cell_length_b 5.897
_cell_length_c 5.236
_cell_angle_alpha 90.00
_cell_angle_beta 90.00
_cell_angle_gamma 90.00
_symmetry_space_group_name_H-M 'P 1'
_symmetry_Int_Tables_number 1
loop_
_symmetry_equiv_pos_as_xyz
'x,y,z'
loop_
_atom_site_label
_atom_site_type_symbol
_atom_site_fract_x
_atom_site_fract_y
_atom_site_fract_z
Ga1 Ga 0.000 0.000 0.000
Na1 Na 0.500 0.000 0.000
Na2 Na 0.000 0.500 0.000
Zn1 Zn 0.000 0.000 0.500
Cs1 Cs 0.500 0.500 0.500
```

# 4
# Sr2Cd5Sn3

A relaxed structure of Sr2Cd5Sn3 (PBE, Alexandria).

Summary:
Its distance to the lowest polymorph of the same formula is 0 meV per atom. As for the theoretical density: 6.4 Mg/m³. The total magnetic moment is 0.00 μB per cell. The calculation puts the formation energy at -0.333 eV/atom. The total energy comes out at -2.328 eV per atom.

Geometry as CIF:
```
data_Sr2Cd5Sn3
_cell_length_a 6.660
_cell_length_b 9.789
_cell_length_c 9.789
_cell_angle_alpha 80.02
_cell_angle_beta 70.11
_cell_angle_gamma 70.11
_symmetry_space_group_name_H-M 'P 1'
_symmetry_Int_Tables_number 1
loop_
_symmetry_equiv_pos_as_xyz
'x,y,z'
loop_
_atom_site_label
_atom_site_type_symbol
_atom_site_fract_x
_atom_site_fract_y
_atom_site_fract_z
Sr1 Sr 0.376 0.877 0.371
Sr2 Sr 0.876 0.371 0.877
Sr3 Sr 0.124 0.629 0.123
Sr4 Sr 0.624 0.123 0.629
Cd1 Cd 0.494 0.256 0.256
Cd2 Cd 0.506 0.744 0.744
Cd3 Cd 0.132 0.002 0.734
Cd4 Cd 0.250 0.500 0.500
Cd5 Cd 0.368 0.266 0.998
Cd6 Cd 0.868 0.998 0.266
Cd7 Cd 0.994 0.256 0.256
Cd8 Cd 0.006 0.744 0.744
Cd9 Cd 0.632 0.734 0.002
Cd10 Cd 0.750 0.500 0.500
Sn1 Sn 0.123 0.233 0.520
Sn2 Sn 0.250 0.000 0.000
Sn3 Sn 0.877 0.767 0.480
Sn4 Sn 0.750 0.000 0.000
Sn5 Sn 0.377 0.480 0.767
Sn6 Sn 0.623 0.520 0.233
```

# 5
# La4Pm3Sm5

A relaxed structure of La4Pm3Sm5 (PBE, Alexandria).

Summary:
Its distance to the lowest polymorph of the same formula is 176 meV per atom. As for the theoretical density: 6.7 Mg/m³. The total magnetic moment is 0.02 μB per cell. The calculation puts the formation energy at 0.194 eV/atom. The total energy comes out at -4.602 eV per atom.

Geometry as CIF:
```
data_La4Pm3Sm5
_cell_length_a 6.102
_cell_length_b 8.802
_cell_length_c 9.908
_cell_angle_alpha 105.89
_cell_angle_beta 72.07
_cell_angle_gamma 69.72
_symmetry_space_group_name_H-M 'P 1'
_symmetry_Int_Tables_number 1
loop_
_symmetry_equiv_pos_as_xyz
'x,y,z'
loop_
_atom_site_label
_atom_site_type_symbol
_atom_site_fract_x
_atom_site_fract_y
_atom_site_fract_z
Pm1 Pm 0.000 0.500 0.500
Pm2 Pm 0.517 0.692 0.274
Pm3 Pm 0.483 0.308 0.726
Sm1 Sm 0.500 0.500 0.500
Sm2 Sm 0.374 0.053 0.199
Sm3 Sm 0.781 0.547 0.890
Sm4 Sm 0.626 0.947 0.801
Sm5 Sm 0.219 0.453 0.110
La1 La 0.144 0.772 0.939
La2 La 0.166 0.046 0.622
La3 La 0.856 0.228 0.061
La4 La 0.834 0.954 0.378
```

# 6
# TcPd6Au

A relaxed structure of TcPd6Au (PBE, Alexandria).

Summary:
As for the theoretical density: 12.5 Mg/m³. The total magnetic moment is 1.44 μB per cell. The calculation puts the formation energy at 0.001 eV/atom. The total energy comes out at -5.599 eV per atom.

Geometry as CIF:
```
data_TcPd6Au
_cell_length_a 3.964
_cell_length_b 3.964
_cell_length_c 7.921
_cell_angle_alpha 90.00
_cell_angle_beta 90.00
_cell_angle_gamma 90.00
_symmetry_space_group_name_H-M 'P 1'
_symmetry_Int_Tables_number 1
loop_
_symmetry_equiv_pos_as_xyz
'x,y,z'
loop_
_atom_site_label
_atom_site_type_symbol
_atom_site_fract_x
_atom_site_fract_y
_atom_site_fract_z
Pd1 Pd 0.500 0.500 0.000
Pd2 Pd 0.000 0.500 0.262
Pd3 Pd 0.000 0.500 0.738
Pd4 Pd 0.500 0.000 0.262
Pd5 Pd 0.500 0.000 0.738
Pd6 Pd 0.500 0.500 0.500
Au1 Au 0.000 0.000 0.000
Tc1 Tc 0.000 0.000 0.500
```

# 7
# PmTm2Bi3

A relaxed structure of PmTm2Bi3 (PBE, Alexandria).

Summary:
As for the theoretical density: 9.6 Mg/m³. The total magnetic moment is 0.00 μB per cell. The calculation puts the formation energy at -0.828 eV/atom. The total energy comes out at -5.051 eV per atom.

Geometry as CIF:
```
data_PmTm2Bi3
_cell_length_a 4.483
_cell_length_b 6.346
_cell_length_c 7.763
_cell_angle_alpha 114.12
_cell_angle_beta 106.78
_cell_angle_gamma 90.00
_symmetry_space_group_name_H-M 'P 1'
_symmetry_Int_Tables_number 1
loop_
_symmetry_equiv_pos_as_xyz
'x,y,z'
loop_
_atom_site_label
_atom_site_type_symbol
_atom_site_fract_x
_atom_site_fract_y
_atom_site_fract_z
Tm1 Tm 0.835 0.835 0.170
Tm2 Tm 0.165 0.165 0.830
Bi1 Bi 0.828 0.328 0.155
Bi2 Bi 0.172 0.672 0.845
Bi3 Bi 0.500 0.000 0.500
Pm1 Pm 0.500 0.500 0.500
```

# 8
# CrSbMo

A relaxed structure of CrSbMo (PBE, Alexandria).

Summary:
Its formation energy without anion corrections is 7.581 kcal/mol of atoms. Its distance to the lowest polymorph of the same formula is 98 meV per atom. As for the theoretical density: 9.3 Mg/m³. The total magnetic moment is 0.00 μB per cell. The total energy comes out at -7.864 eV per atom.

Geometry as CIF:
```
data_CrSbMo
_cell_length_a 5.059
_cell_length_b 5.059
_cell_length_c 3.262
_cell_angle_alpha 71.20
_cell_angle_beta 71.19
_cell_angle_gamma 37.61
_symmetry_space_group_name_H-M 'P 1'
_symmetry_Int_Tables_number 1
loop_
_symmetry_equiv_pos_as_xyz
'x,y,z'
loop_
_atom_site_label
_atom_site_type_symbol
_atom_site_fract_x
_atom_site_fract_y
_atom_site_fract_z
Cr1 Cr 0.005 0.005 0.995
Sb1 Sb 0.337 0.337 0.663
Mo1 Mo 0.658 0.658 0.342
```

# 9
# LaThRh4

A relaxed structure of LaThRh4 (PBE, Alexandria).

Summary:
As for the theoretical density: 11.5 Mg/m³. The total magnetic moment is 0.00 μB per cell. The calculation puts the formation energy at -0.727 eV/atom. The total energy comes out at -7.686 eV per atom.

Geometry as CIF:
```
data_LaThRh4
_cell_length_a 5.432
_cell_length_b 5.432
_cell_length_c 5.432
_cell_angle_alpha 60.00
_cell_angle_beta 60.00
_cell_angle_gamma 60.00
_symmetry_space_group_name_H-M 'P 1'
_symmetry_Int_Tables_number 1
loop_
_symmetry_equiv_pos_as_xyz
'x,y,z'
loop_
_atom_site_label
_atom_site_type_symbol
_atom_site_fract_x
_atom_site_fract_y
_atom_site_fract_z
Rh1 Rh 0.625 0.125 0.625
Rh2 Rh 0.625 0.625 0.125
Rh3 Rh 0.625 0.625 0.625
Rh4 Rh 0.125 0.625 0.625
Th1 Th 0.250 0.250 0.250
La1 La 0.000 0.000 0.000
```

# 10
# PuCoSi3Ni

A relaxed structure of PuCoSi3Ni (PBE, Alexandria).

Summary:
Its formation energy without anion corrections is -6.931 kcal/mol of atoms. As for the theoretical density: 7.5 Mg/m³. The total magnetic moment is 11.76 μB per cell. The total energy comes out at -7.549 eV per atom.

Geometry as CIF:
```
data_PuCoSi3Ni
_cell_length_a 5.600
_cell_length_b 5.975
_cell_length_c 6.649
_cell_angle_alpha 116.70
_cell_angle_beta 90.00
_cell_angle_gamma 90.00
_symmetry_space_group_name_H-M 'P 1'
_symmetry_Int_Tables_number 1
loop_
_symmetry_equiv_pos_as_xyz
'x,y,z'
loop_
_atom_site_label
_atom_site_type_symbol
_atom_site_fract_x
_atom_site_fract_y
_atom_site_fract_z
Si1 Si 0.500 0.711 0.000
Si2 Si 0.500 0.289 0.000
Si3 Si 0.000 0.711 0.000
Si4 Si 0.250 0.214 0.429
Si5 Si 0.750 0.786 0.571
Si6 Si 0.000 0.289 0.000
Pu1 Pu 0.750 0.250 0.500
Pu2 Pu 0.250 0.750 0.500
Ni1 Ni 0.250 0.392 0.785
Ni2 Ni 0.750 0.608 0.215
Co1 Co 0.250 0.038 0.077
Co2 Co 0.750 0.962 0.923
```

# 11
# CdMoPS2

A relaxed structure of CdMoPS2 (PBE, Alexandria).

Summary:
Its formation energy without anion corrections is 3.665 kcal/mol of atoms. Its distance to the lowest polymorph of the same formula is 0 meV per atom. As for the theoretical density: 4.7 Mg/m³. The total magnetic moment is 0.00 μB per cell. The total energy comes out at -4.923 eV per atom.

Geometry as CIF:
```
data_CdMoPS2
_cell_length_a 4.626
_cell_length_b 4.626
_cell_length_c 4.989
_cell_angle_alpha 90.00
_cell_angle_beta 90.00
_cell_angle_gamma 90.00
_symmetry_space_group_name_H-M 'P 1'
_symmetry_Int_Tables_number 1
loop_
_symmetry_equiv_pos_as_xyz
'x,y,z'
loop_
_atom_site_label
_atom_site_type_symbol
_atom_site_fract_x
_atom_site_fract_y
_atom_site_fract_z
Cd1 Cd 0.500 0.500 0.500
S1 S 0.000 0.500 0.000
S2 S 0.500 0.000 0.000
Mo1 Mo 0.000 0.000 0.000
P1 P 0.000 0.000 0.500
```

# 12
# La2Sn3Pt4Au

A relaxed structure of La2Sn3Pt4Au (PBE, Alexandria).

Summary:
As for the theoretical density: 11.7 Mg/m³. The total magnetic moment is 0.00 μB per cell. The calculation puts the formation energy at -0.826 eV/atom. The total energy comes out at -5.756 eV per atom.

Geometry as CIF:
```
data_La2Sn3Pt4Au
_cell_length_a 4.562
_cell_length_b 4.562
_cell_length_c 10.960
_cell_angle_alpha 90.00
_cell_angle_beta 90.00
_cell_angle_gamma 90.00
_symmetry_space_group_name_H-M 'P 1'
_symmetry_Int_Tables_number 1
loop_
_symmetry_equiv_pos_as_xyz
'x,y,z'
loop_
_atom_site_label
_atom_site_type_symbol
_atom_site_fract_x
_atom_site_fract_y
_atom_site_fract_z
Sn1 Sn 0.000 0.000 0.500
Sn2 Sn 0.500 0.000 0.874
Sn3 Sn 0.000 0.500 0.126
La1 La 0.500 0.000 0.259
La2 La 0.000 0.500 0.741
Pt1 Pt 0.000 0.500 0.361
Pt2 Pt 0.500 0.000 0.639
Pt3 Pt 0.000 0.000 0.000
Pt4 Pt 0.500 0.500 0.000
Au1 Au 0.500 0.500 0.500
```